1) 4
Lattice="2.926 0.000 0.000 0.000 3.940 0.000 0.000 0.000 7.088" Properties=species:S:1:pos:R:3 comment="TeAsOs2 (PBE, optimized geometry)" vol_a3_per_atom=20.4 m_tot_mub_per_fu=0.0 crystal_system=orthorhombic pbc="T T T"
Te 0.000 0.000 0.000
As 1.463 1.970 3.128
Os 0.000 0.000 4.429
Os 1.463 1.970 5.597

2) 4
Lattice="2.853 0.000 0.000 0.000 3.762 0.000 -0.021 0.000 7.721" Properties=species:S:1:pos:R:3 comment="TeAsOs2 (PBE, optimized geometry)" vol_a3_per_atom=20.7 m_tot_mub_per_fu=0.0 crystal_system=monoclinic pbc="T T T"
Te 0.000 0.000 0.000
As 2.830 1.881 3.151
Os 1.404 0.000 4.554
Os 2.830 1.881 5.733

If we sort the structures by their calculated energies, the order from most to least stable is 2), 1).

1) 4
Lattice="1.454 -2.583 0.000 1.454 2.583 0.000 0.000 0.000 10.255" Properties=species:S:1:pos:R:3 comment="TeAsOs2 (PBE, optimized geometry)" vol_a3_per_atom=19.2 m_tot_mub_per_fu=0.0 crystal_system=orthorhombic pbc="T T T"
Te 0.000 0.000 0.000
As 1.454 0.000 6.657
Os 0.000 0.000 4.569
Os 1.454 0.000 2.388

2) 4
Lattice="-1.934 1.934 4.507 1.934 -1.934 4.507 1.934 1.934 -4.507" Properties=species:S:1:pos:R:3 comment="TeAsOs2 (PBE, optimized geometry)" vol_a3_per_atom=16.9 m_tot_mub_per_fu=0.0 crystal_system=tetragonal pbc="T T T"
Te 0.000 0.000 0.000
As 1.934 0.000 2.254
Os 0.000 0.000 4.507
Os 0.000 1.934 2.254

If we sort the structures by their calculated energies, the order from most to least stable is 1), 2).

1) 5
Lattice="4.591 0.000 0.000 0.000 4.591 0.000 0.000 0.000 4.591" Properties=species:S:1:pos:R:3 comment="TeAsOs3 (PBE, optimized geometry)" vol_a3_per_atom=19.4 m_tot_mub_per_fu=0.0 crystal_system=cubic pbc="T T T"
Te 0.000 0.000 0.000
As 2.296 2.296 2.296
Os 0.000 2.296 2.296
Os 2.296 0.000 2.296
Os 2.296 2.296 0.000

2) 5
Lattice="4.813 0.000 0.000 0.000 4.813 0.000 0.000 0.000 4.813" Properties=species:S:1:pos:R:3 comment="TeAsOs3 (PBE, optimized geometry)" vol_a3_per_atom=22.3 m_tot_mub_per_fu=0.0 crystal_system=cubic pbc="T T T"
Te 0.000 0.000 0.000
As 2.407 2.407 2.407
Os 0.000 0.000 2.407
Os 0.000 2.407 0.000
Os 2.407 0.000 0.000

If we sort the structures by their calculated energies, the order from most to least stable is 1), 2).